No. 1
Sc3TlH (PBE, relaxed); polymorph energy (0 for the lowest one) = 2.1 meV per atom
1.0
-2.5190 -3.4212 -4.7985
4.2810 0.3021 -2.4985
2.4714 -4.3232 3.6980
Sc H Tl
6 2 2
direct
0.3614 0.8702 0.4915 Sc
0.0062 0.8703 0.9984 Sc
0.8453 0.8686 0.4736 Sc
0.6901 0.3845 0.7718 Sc
0.1740 0.3829 0.7538 Sc
0.5292 0.3828 0.2470 Sc
0.6055 0.1300 0.5043 H
0.9299 0.1231 0.7411 H
0.4923 0.8794 0.9846 Tl
0.0430 0.3737 0.2607 Tl

***

No. 2
Li8Cd3 (PBE, relaxed); polymorph energy (0 for the lowest one) = 0.0 meV per atom; E_form = -2.00 eV per formula unit
1.0
4.1829 0.0000 0.0000
-2.0914 4.4532 -1.0890
0.0000 -0.5943 11.0052
Li Cd
8 3
direct
0.7273 0.4546 0.0914 Li
0.2727 0.5454 0.9086 Li
0.5484 0.0968 0.8184 Li
0.4516 0.9032 0.1816 Li
0.8218 0.6435 0.7276 Li
0.1782 0.3565 0.2724 Li
0.6329 0.2658 0.4562 Li
0.3671 0.7342 0.5438 Li
0.0000 0.0000 0.0000 Cd
0.9007 0.8014 0.3605 Cd
0.0993 0.1986 0.6395 Cd

***

No. 3
SrCu2W (PBE, relaxed); polymorph energy (0 for the lowest one) = 232.7 meV per atom; E_form = 3.57 eV per formula unit
1.0
4.8326 -0.0080 -0.0743
-0.0269 4.8325 0.0743
-2.0016 -2.8119 3.3832
Cu Sr W
2 1 1
direct
0.0483 0.0483 0.0000 Cu
0.4517 0.4517 0.0000 Cu
0.7500 0.2500 0.5000 Sr
0.2500 0.7500 0.5000 W

***

No. 4
AcRhI (PBE, relaxed); polymorph energy (0 for the lowest one) = 424.2 meV per atom; raw formation energy = -63.48 kJ per mole of atoms
1.0
-2.0199 -4.2573 3.9735
0.0445 -2.9855 -3.1299
6.7859 -1.9824 1.8510
Ac Rh I
2 2 2
direct
0.2748 0.2515 0.1893 Ac
0.7309 0.7519 0.8146 Ac
0.8250 0.2495 0.0339 Rh
0.1803 0.7538 0.9701 Rh
0.7571 0.2568 0.4112 I
0.2487 0.7460 0.5928 I

***

No. 5
Mo2Os4Ru3 (PBE, relaxed); E_form = 2.54 eV per formula unit
1.0
-1.5724 -0.1237 -9.2639
0.9872 -4.7707 0.1594
-5.7667 1.3402 4.0683
Mo Os Ru
4 8 6
direct
0.5618 0.5673 0.3712 Mo
0.0092 0.2763 0.6440 Mo
0.4382 0.4327 0.6288 Mo
0.9908 0.7237 0.3560 Mo
0.5288 0.7787 0.0674 Os
0.0543 0.7712 0.0325 Os
0.4712 0.2213 0.9326 Os
0.9457 0.2288 0.9675 Os
0.8689 0.7350 0.6255 Os
0.7043 0.1718 0.5362 Os
0.1311 0.2650 0.3745 Os
0.2957 0.8282 0.4638 Os
0.2194 0.8001 0.7910 Ru
0.3671 0.0516 0.2328 Ru
0.7806 0.1999 0.2090 Ru
0.6329 0.9484 0.7672 Ru
0.7467 0.5714 0.9560 Ru
0.2533 0.4286 0.0440 Ru

***

No. 6
Tb7SmMg4 (PBE, relaxed); E_form = 1.93 eV per formula unit
1.0
-4.9773 2.7257 0.9607
-3.4148 -2.9403 7.8915
0.8372 5.5477 5.8380
Tb Sm Mg
7 1 4
direct
0.7980 0.8770 0.5269 Tb
0.2020 0.1230 0.4731 Tb
0.0800 0.5745 0.2655 Tb
0.9200 0.4255 0.7345 Tb
0.2518 0.7104 0.7860 Tb
0.5000 0.0000 0.0000 Tb
0.7482 0.2896 0.2140 Tb
0.0000 0.0000 0.0000 Sm
0.5412 0.3027 0.6149 Mg
0.4588 0.6973 0.3851 Mg
0.6752 0.6543 0.9954 Mg
0.3249 0.3457 0.0046 Mg

***

No. 7
SmTm2Tl (PBE, relaxed); polymorph energy (0 for the lowest one) = 0.0 meV per atom; E_form = -0.69 eV per formula unit
1.0
4.8050 0.0000 0.0000
0.0000 4.8636 0.0000
0.0000 0.0000 4.8636
Tl Tm Sm
1 2 1
direct
0.5000 0.0000 0.0000 Tl
0.0000 0.0000 0.5000 Tm
0.0000 0.5000 0.0000 Tm
0.5000 0.5000 0.5000 Sm

***

No. 8
Ca2AcSi (PBE, relaxed); polymorph energy (0 for the lowest one) = 0.0 meV per atom; raw formation energy = -26.22 kJ per mole of atoms
1.0
4.5007 0.0011 0.0000
-2.2483 6.3592 0.0000
0.0000 0.0000 9.3610
Ca Ac Si
4 2 2
direct
0.3486 0.6971 0.5627 Ca
0.6514 0.3029 0.4373 Ca
0.3486 0.6971 0.9373 Ca
0.6514 0.3029 0.0627 Ca
0.9389 0.8777 0.2500 Ac
0.0611 0.1223 0.7500 Ac
0.7511 0.5023 0.7500 Si
0.2489 0.4977 0.2500 Si

***

No. 9
La3InO (PBE, relaxed); raw formation energy = -106.29 kJ per mole of atoms
1.0
3.6533 0.0000 0.0000
0.0000 3.2396 -6.2206
0.0000 3.2396 6.2206
In O La
1 1 3
direct
0.5000 0.9869 0.0131 In
0.0000 0.6867 0.3133 O
0.5000 0.4847 0.0227 La
0.5000 0.9773 0.5153 La
0.0000 0.4924 0.5076 La

***

No. 10
BaNa8Cd4 (PBE, relaxed); E_form = -1.15 eV per formula unit
1.0
6.2966 0.0000 0.0000
3.1483 8.0101 0.0000
3.1483 0.0000 8.0101
Ba Na Cd
1 8 4
direct
0.0000 0.0000 0.0000 Ba
0.0000 0.3467 0.6533 Na
0.0000 0.6533 0.3467 Na
0.3467 0.6533 0.6533 Na
0.6533 0.3467 0.3467 Na
0.5000 0.7798 0.2202 Na
0.5000 0.2202 0.7798 Na
0.2798 0.2202 0.2202 Na
0.7202 0.7798 0.7798 Na
0.0000 0.0000 0.5000 Cd
0.5000 0.0000 0.5000 Cd
0.0000 0.5000 0.0000 Cd
0.5000 0.5000 0.0000 Cd

***

No. 11
Li2NbRuS (PBE, relaxed); raw formation energy = 63.98 kJ per mole of atoms
1.0
-0.5179 2.5219 -3.4009
-4.1489 -1.2998 -0.3321
-1.2059 3.1965 2.5540
Ru Nb S Li
1 1 1 2
direct
0.0000 0.0000 0.0000 Ru
0.5000 0.5000 0.5000 Nb
0.0000 0.5000 0.0000 S
0.0000 0.0000 0.5000 Li
0.5000 0.0000 0.0000 Li

***

No. 12
ZnAsP2 (PBE, relaxed); polymorph energy (0 for the lowest one) = 329.6 meV per atom; E_form = 1.49 eV per formula unit
1.0
4.5074 0.0000 0.0000
0.0000 2.6830 0.0030
0.0000 -0.0001 5.5492
As P Zn
1 2 1
direct
0.5000 0.7500 0.7500 As
0.0000 0.7503 0.0408 P
0.0000 0.7497 0.4592 P
0.5000 0.2500 0.2500 Zn

***

| no. | total DFT energy (no corrections) (eV for the cell shown) |
| --- | --- |
| 1 | -53.13 |
| 2 | -20.06 |
| 3 | -19.25 |
| 4 | -29.97 |
| 5 | -183.73 |
| 6 | -41.58 |
| 7 | -16.71 |
| 8 | -29.24 |
| 9 | -27.99 |
| 10 | -17.29 |
| 11 | -23.99 |
| 12 | -15.25 |